1.
Cd6InSn (PBE-GGA, relaxed); electronic total energy = -1.49 eV per atom; distance to the lowest polymorph of the same formula = 0 meV per atom; D(E_F) = 2.9 states/eV/cell; calculated formation energy = 0.04 eV/atom
1.0
-1.890 -4.287 -0.002
5.615 -2.474 -1.842
1.685 -0.745 6.135
In Cd Sn
1 6 1
Cartesian
2.705 -3.753 2.146 In
5.475 -2.414 3.220 Cd
-0.102 -2.516 3.067 Cd
1.825 -0.805 1.073 Cd
2.667 -1.177 4.141 Cd
1.863 -3.381 -0.922 Cd
4.632 -2.042 0.152 Cd
-0.945 -2.144 -0.001 Sn

---

2.
LaMnMo2 (PBE-GGA, relaxed); electronic total energy = -8.29 eV per atom; distance to the lowest polymorph of the same formula = 337 meV per atom; D(E_F) = 4.9 states/eV/cell; calculated formation energy = 0.65 eV/atom
1.0
3.204 0.000 0.000
0.000 4.651 0.000
0.000 0.000 4.902
La Mo Mn
1 2 1
Cartesian
1.602 0.000 2.451 La
1.602 2.325 0.000 Mo
0.000 0.000 0.000 Mo
0.000 2.325 2.451 Mn

---

3.
Ac2MnAs3Rh4 (PBE-GGA, relaxed); electronic total energy = -6.88 eV per atom; D(E_F) = 7.1 states/eV/cell; calculated formation energy = -0.80 eV/atom
1.0
-4.110 1.295 -0.096
-0.468 -1.181 4.118
2.956 9.609 3.092
Rh Mn As Ac
4 1 3 2
Cartesian
0.000 0.000 0.000 Rh
-0.190 6.710 1.903 Rh
-2.289 0.057 2.011 Rh
0.857 2.957 3.201 Rh
-0.811 4.862 3.558 Mn
0.155 0.675 2.467 As
0.512 8.991 2.637 As
1.478 4.805 1.546 As
1.973 6.584 4.368 Ac
-1.306 3.082 0.736 Ac

---

4.
Cd4AgAu6 (PBE-GGA, relaxed); electronic total energy = -2.45 eV per atom; D(E_F) = 4.4 states/eV/cell; calculated formation energy = -0.07 eV/atom
1.0
6.319 -2.470 -4.637
-4.367 6.775 1.599
-1.592 2.470 7.675
Au Cd Ag
6 4 1
Cartesian
-4.309 6.685 4.743 Au
2.364 0.000 1.519 Au
2.884 0.091 -1.253 Au
-0.913 4.186 3.384 Au
-3.261 5.059 7.037 Au
0.976 2.153 -1.519 Au
-1.988 7.473 6.204 Cd
-2.803 4.348 1.253 Cd
-1.142 1.772 4.888 Cd
0.335 2.427 1.567 Cd
0.000 0.000 0.000 Ag